DFT (PBE-GGA) results for an optimized crystal structure of RbTcN3.

Computed properties:
**E_form (uncorrected)**: 0.646 eV/atom
**M_tot**: 0.068 μB/atom
**Density of states at the Fermi level**: 0.545 states/eV/atom

Unit cell a=4.000 b=4.000 c=4.000 alpha=90.00 beta=90.00 gamma=90.00
Positions (direct):
1 Rb 0.000 0.000 0.000
2 Tc 0.500 0.500 0.500
3 N 0.000 0.500 0.500
4 N 0.500 0.000 0.500
5 N 0.500 0.500 0.000